# HgPb2Au | the Alexandria database | meta-GGA SCAN | PBEsol geometry
# Calculated total energy, eV per formula unit: -289.02
# Excess energy over the best structure of this formula in the dataset, meV/atom: 11.9
# Fermi-level density of states, states/eV per cell: 5.34
# Total magnetization, μB per atom: 0.0001
# ΔE_f, eV per atom: -0.033
data_HgPb2Au
_cell_length_a 3.7582
_cell_length_b 3.7582
_cell_length_c 25.3981
_cell_angle_alpha 90.00
_cell_angle_beta 90.00
_cell_angle_gamma 120.00
_symmetry_space_group_name_H-M 'R -3 m'
_symmetry_Int_Tables_number 166
_symmetry_space_group_name_Hall '-R 3 2"'
loop_
_atom_site_label
_atom_site_type_symbol
_atom_site_fract_x
_atom_site_fract_y
_atom_site_fract_z
Hg1 Hg 0.0000 0.0000 0.0000
Pb1 Pb 0.0000 0.0000 0.2422
Au1 Au 0.0000 0.0000 0.5000



# InRe2Os | the Alexandria database | meta-GGA SCAN | PBEsol geometry
# Calculated total energy, eV per formula unit: -245.04
# Fermi-level density of states, states/eV per cell: 6.90
# Total magnetization, μB per atom: 0.0003
# ΔE_f, eV per atom: 0.605
data_InRe2Os
_cell_length_a 2.8931
_cell_length_b 4.7300
_cell_length_c 9.2448
_cell_angle_alpha 90.00
_cell_angle_beta 90.00
_cell_angle_gamma 90.00
_symmetry_space_group_name_H-M 'C m m 2'
_symmetry_Int_Tables_number 35
_symmetry_space_group_name_Hall 'C 2 -2'
loop_
_atom_site_label
_atom_site_type_symbol
_atom_site_fract_x
_atom_site_fract_y
_atom_site_fract_z
In1 In 0.0000 0.0000 0.0000
Re1 Re 0.0000 0.0000 0.4974
Re2 Re 0.0000 0.5000 0.7336
Os1 Os 0.0000 0.5000 0.2586



# NiHgCl2 | the Alexandria database | meta-GGA SCAN | PBEsol geometry
# Calculated total energy, eV per formula unit: -102.17
# Excess energy over the best structure of this formula in the dataset, meV/atom: 301.3
# Fermi-level density of states, states/eV per cell: 1.44
# Total magnetization, μB per atom: 0.0000
# Formation energy without anion corrections, eV/f.u.: -1.9
data_NiHgCl2
_cell_length_a 3.1239
_cell_length_b 6.4423
_cell_length_c 9.0643
_cell_angle_alpha 90.00
_cell_angle_beta 90.00
_cell_angle_gamma 90.00
_symmetry_space_group_name_H-M 'C m m m'
_symmetry_Int_Tables_number 65
_symmetry_space_group_name_Hall '-C 2 2'
loop_
_atom_site_label
_atom_site_type_symbol
_atom_site_fract_x
_atom_site_fract_y
_atom_site_fract_z
Ni1 Ni 0.0000 0.0000 0.0000
Hg1 Hg 0.0000 0.0000 0.5000
Cl1 Cl 0.0000 0.5000 0.1638



# Na2ZnSe2 | the Alexandria database | meta-GGA SCAN | PBEsol geometry
# Calculated total energy, eV per formula unit: -67.48
# Fermi-level density of states, states/eV per cell: 0.00
# Total magnetization, μB per atom: 0.0000
# Formation energy without anion corrections, eV/f.u.: -5.4
data_Na2ZnSe2
_cell_length_a 6.5863
_cell_length_b 11.6437
_cell_length_c 6.0634
_cell_angle_alpha 90.00
_cell_angle_beta 90.00
_cell_angle_gamma 90.00
_symmetry_space_group_name_H-M 'I b a m'
_symmetry_Int_Tables_number 72
_symmetry_space_group_name_Hall '-I 2 2c'
loop_
_atom_site_label
_atom_site_type_symbol
_atom_site_fract_x
_atom_site_fract_y
_atom_site_fract_z
Na1 Na 0.1596 0.1379 0.0000
Zn1 Zn 0.0000 0.5000 0.2500
Se1 Se 0.2143 0.3844 0.0000



# LiCu2 | the Alexandria database | meta-GGA SCAN | PBEsol geometry
# Calculated total energy, eV per formula unit: -32.82
# Fermi-level density of states, states/eV per cell: 4.31
# Total magnetization, μB per atom: 0.0000
# ΔE_f, eV per atom: -0.012
data_LiCu2
_cell_length_a 9.4942
_cell_length_b 2.5045
_cell_length_c 6.0971
_cell_angle_alpha 90.00
_cell_angle_beta 104.35
_cell_angle_gamma 90.00
_symmetry_space_group_name_H-M 'C 1 2/m 1'
_symmetry_Int_Tables_number 12
_symmetry_space_group_name_Hall '-C 2y'
loop_
_atom_site_label
_atom_site_type_symbol
_atom_site_fract_x
_atom_site_fract_y
_atom_site_fract_z
Li1 Li 0.1909 0.0000 0.1494
Cu1 Cu 0.0318 0.5000 0.8049
Cu2 Cu 0.1366 0.0000 0.5234



# KNiW2 | the Alexandria database | meta-GGA SCAN | PBEsol geometry
# Calculated total energy, eV per formula unit: -160.33
# Excess energy over the best structure of this formula in the dataset, meV/atom: 0.0
# Fermi-level density of states, states/eV per cell: 4.07
# Total magnetization, μB per atom: 0.0001
# ΔE_f, eV per atom: 0.887
data_KNiW2
_cell_length_a 3.1465
_cell_length_b 3.1465
_cell_length_c 8.2158
_cell_angle_alpha 90.00
_cell_angle_beta 90.00
_cell_angle_gamma 90.00
_symmetry_space_group_name_H-M 'P 4 m m'
_symmetry_Int_Tables_number 99
_symmetry_space_group_name_Hall 'P 4 -2'
loop_
_atom_site_label
_atom_site_type_symbol
_atom_site_fract_x
_atom_site_fract_y
_atom_site_fract_z
K1 K 0.0000 0.0000 0.0000
Ni1 Ni 0.5000 0.5000 0.3070
W1 W 0.0000 0.0000 0.4624
W2 W 0.5000 0.5000 0.6276



Question: calculated total energy of number 6 (KNiW2)?
Answer: -160.33 eV per formula unit